4
Lattice="0.0000 3.4033 3.4033 3.4033 0.0000 3.4033 3.4033 3.4033 0.0000" Properties=species:S:1:pos:R:3 comment="TaWBr2 PBE-GGA optimized geometry" formation_energy_uncorrected_kj_per_mol_atoms=125 magnetic_moment_mub_per_cell=0.0 energy_ev_per_atom=-5.74 de_polymorph_mev_per_atom=1352 vol_a3_per_atom=19.71 pbc="T T T"
Ta 0.0000 0.0000 0.0000
W 1.7016 1.7016 1.7016
Br 3.4033 3.4033 3.4033
Br 5.1049 5.1049 5.1049